# 1
A relaxed KCdOF2 crystal. Source: Alexandria, functional PBE-GGA.

abc: 4.527 4.527 4.248
angles: 90.00 90.00 90.00
Space group P4/mmm (No. 123)
Symmetry-distinct sites (fractional):
K: 0.000 0.000 0.000
Cd: 0.500 0.500 0.500
O: 0.500 0.500 0.000
F: 0.000 0.500 0.500

## Properties
The energy above the most stable polymorph in this dataset is 0 meV/atom. The value obtained for the formation energy from raw total energies is -1.69 eV per atom. As for the total magnetization: 0.89 μB/cell. Its density of states at the Fermi level is 4.1 states/eV per cell.

# 2
A relaxed K3Cd2PbF9 crystal. Source: Alexandria, functional PBE-GGA.

abc: 6.3753 6.3753 8.2737
angles: 90.00 90.00 120.00
Space group P-3m1 (No. 164)
Symmetry-distinct sites (fractional):
K: 0.0000 0.0000 0.0000
K: 0.3333 0.6667 0.7347
Cd: 0.3333 0.6667 0.1631
Pb: 0.0000 0.0000 0.5000
F: 0.0000 0.5000 0.0000
F: 0.1638 0.3276 0.3058

## Properties
The value obtained for the formation energy from raw total energies is -2.45 eV per atom. As for the total magnetization: 0.00 μB/cell. Its density of states at the Fermi level is 0.0 states/eV per cell.

# 3
A relaxed KCdPbF6 crystal. Source: Alexandria, functional PBE-GGA.

abc: 6.1643 6.1643 10.6475
angles: 90.00 90.00 120.00
Space group P-31c (No. 163)
Symmetry-distinct sites (fractional):
K: 0.0000 0.0000 0.0000
Cd: 0.3333 0.6667 0.2500
Pb: 0.3333 0.6667 0.7500
F: 0.9998 0.3674 0.1403

## Properties
The value obtained for the formation energy from raw total energies is -2.27 eV per atom. As for the total magnetization: 1.49 μB/cell. Its density of states at the Fermi level is 7.2 states/eV per cell.

# 4
A relaxed KCdPdF6 crystal. Source: Alexandria, functional PBE-GGA.

abc: 7.214 7.917 10.325
angles: 90.00 90.00 90.00
Space group Imma (No. 74)
Symmetry-distinct sites (fractional):
K: 0.000 0.250 0.148
Cd: 0.250 0.250 0.750
Pd: 0.000 0.000 0.500
F: 0.000 0.250 0.580
F: 0.000 0.250 0.868
F: 0.194 0.031 0.366

## Properties
The value obtained for the formation energy from raw total energies is -1.95 eV per atom. As for the total magnetization: 0.23 μB/cell. Its density of states at the Fermi level is 6.0 states/eV per cell.

# 5
A relaxed K3CdPd2F9 crystal. Source: Alexandria, functional PBE-GGA.

abc: 6.1729 6.1729 7.5557
angles: 90.00 90.00 120.00
Space group P-3m1 (No. 164)
Symmetry-distinct sites (fractional):
K: 0.0000 0.0000 0.0000
K: 0.3333 0.6667 0.6674
Cd: 0.0000 0.0000 0.5000
Pd: 0.3333 0.6667 0.1578
F: 0.0000 0.5000 0.0000
F: 0.1678 0.3356 0.3263

## Properties
The value obtained for the formation energy from raw total energies is -2.03 eV per atom. As for the total magnetization: 0.00 μB/cell. Its density of states at the Fermi level is 2.7 states/eV per cell.

# 6
A relaxed K2CdPd3F12 crystal. Source: Alexandria, functional PBE-GGA.

abc: 8.0952 8.0952 18.0612
angles: 90.00 90.00 120.00
Space group R-3m (No. 166, hexagonal axes)
Symmetry-distinct sites (fractional):
K: 0.0000 0.0000 0.1812
Cd: 0.0000 0.0000 0.5000
Pd: 0.0000 0.5000 0.0000
F: 0.0431 0.5216 0.1105
F: 0.0981 0.5491 0.3503

## Properties
The value obtained for the formation energy from raw total energies is -1.77 eV per atom. As for the total magnetization: 0.00 μB/cell. Its density of states at the Fermi level is 10.7 states/eV per cell.

> Which of these has the lowest density of states at the Fermi level?

K3Cd2PbF9

> Which formula does entry 1 have?

KCdOF2

> Which formula does entry 5 have?

K3CdPd2F9

> formation energy from raw total energies of number 6 (K2CdPd3F12)?

-1.77 eV per atom